1.
Material: RbScZnSe3
Method: DFT, PBE-GGA
State: relaxed

Values from the calculation:
calculated total energy	-4.48	eV/atom

Cell: 9.0963 4.0211 9.9738 Å, 90.00 111.53 90.00°
With the nearest neighbours (Å) after each atom.
Space group P2_1/m (No. 11)
Inequivalent atoms, fractional coordinates:
Rb1 0.2157 0.2500 0.2437  7 Se 3.45-3.65
Sc1 0.3341 0.7500 0.8667  6 Se 2.65-2.96
Zn1 0.0854 0.2500 0.6098  4 Se 2.42-2.59
Se1 0.1249 0.2500 0.8636  1 Zn 2.42
Se2 0.2124 0.7500 0.5476  3 Zn 2.51-2.59
Se3 0.4717 0.7500 0.1517  3 Sc 2.65-2.73

---

2.
Material: RbZrScSe3
Method: DFT, PBE-GGA
State: relaxed

Values from the calculation:
calculated total energy	-5.75	eV/atom
relative energy among the computed polymorphs	0.000	eV per atom

Cell: 4.0813 15.7314 10.5454 Å, 90.00 90.00 90.00°
With the nearest neighbours (Å) after each atom.
Space group Cmcm (No. 63)
Inequivalent atoms, fractional coordinates:
Rb1 0.0000 0.2420 0.2500  8 Se 3.46-3.69
Zr1 0.0000 0.5000 0.0000  6 Se 2.82
Sc1 0.0000 0.0362 0.7500  4 Se 2.56-2.58
Se1 0.0000 0.1204 0.5422  1 Sc 2.56, 2 Zr 2.82
Se2 0.0000 0.4355 0.7500  2 Sc 2.58, 2 Zr 2.82

---

3.
Material: RbZrScSe3
Method: DFT, PBE-GGA
State: relaxed

Values from the calculation:
calculated total energy	-5.71	eV/atom
relative energy among the computed polymorphs	0.040	eV per atom

Cell: 4.2179 15.6319 10.4648 Å, 90.00 90.00 90.00°
With the nearest neighbours (Å) after each atom.
Space group Cmcm (No. 63)
Inequivalent atoms, fractional coordinates:
Rb1 0.0000 0.2475 0.2500  8 Se 3.48-3.68
Zr1 0.0000 0.0271 0.7500  4 Se 2.59-2.60
Sc1 0.0000 0.5000 0.0000  6 Se 2.83-2.84
Se1 0.0000 0.1177 0.5431  1 Zr 2.59, 2 Sc 2.83
Se2 0.0000 0.4298 0.7500  2 Zr 2.60, 2 Sc 2.84

---

4.
Material: RbSmScTe3
Method: DFT, PBE-GGA
State: relaxed

Values from the calculation:
calculated total energy	-4.81	eV/atom

Cell: 4.5615 16.5348 11.9532 Å, 90.00 90.00 90.00°
With the nearest neighbours (Å) after each atom.
Space group Cmcm (No. 63)
Inequivalent atoms, fractional coordinates:
Rb1 0.0000 0.2402 0.2500  8 Te 3.72-4.06
Sm1 0.0000 0.5000 0.0000  6 Te 3.16-3.20
Sc1 0.0000 0.0400 0.7500  4 Te 2.78-2.84
Te1 0.0000 0.1305 0.5538  1 Sc 2.78
Te2 0.0000 0.4377 0.7500  2 Sc 2.84, 2 Sm 3.16

---

5.
Material: RbScTa
Method: DFT, PBE-GGA
State: relaxed

Values from the calculation:
calculated total energy	-3.87	eV/atom
relative energy among the computed polymorphs	0.513	eV per atom

Cell: 7.0385 7.0385 7.0385 Å, 90.00 90.00 90.00°
With the nearest neighbours (Å) after each atom.
Space group F-43m (No. 216)
Inequivalent atoms, fractional coordinates:
Rb1 0.0000 0.0000 0.0000  4 Ta 3.05, 4 Sc 3.05
Sc1 0.2500 0.2500 0.7500  4 Rb 3.05
Ta1 0.2500 0.2500 0.2500  4 Rb 3.05

---

6.
Material: RbScTa
Method: DFT, PBE-GGA
State: relaxed

Values from the calculation:
calculated total energy	-4.39	eV/atom
relative energy among the computed polymorphs	0.000	eV per atom

Cell: 7.5161 7.5161 7.5161 Å, 90.00 90.00 90.00°
With the nearest neighbours (Å) after each atom.
Space group F-43m (No. 216)
Inequivalent atoms, fractional coordinates:
Rb1 0.0000 0.0000 0.0000  4 Ta 3.25
Sc1 0.0000 0.0000 0.5000  4 Ta 3.25
Ta1 0.2500 0.2500 0.2500  4 Rb 3.25, 4 Sc 3.25

---

7.
Material: RbTbSc
Method: DFT, PBE-GGA
State: relaxed

Values from the calculation:
calculated total energy	-2.72	eV/atom

Cell: 8.2184 8.2184 8.2184 Å, 90.00 90.00 90.00°
With the nearest neighbours (Å) after each atom.
Space group F-43m (No. 216)
Inequivalent atoms, fractional coordinates:
Rb1 0.0000 0.0000 0.0000  4 Sc 3.56
Tb1 0.0000 0.0000 0.5000  4 Sc 3.56
Sc1 0.2500 0.2500 0.2500  4 Tb 3.56, 4 Rb 3.56

---

8.
Material: RbTbScTe3
Method: DFT, PBE-GGA
State: relaxed

Values from the calculation:
calculated total energy	-4.79	eV/atom

Cell: 4.5141 16.5762 11.7815 Å, 90.00 90.00 90.00°
With the nearest neighbours (Å) after each atom.
Space group Cmcm (No. 63)
Inequivalent atoms, fractional coordinates:
Rb1 0.0000 0.2411 0.2500  8 Te 3.72-4.00
Tb1 0.0000 0.5000 0.0000  6 Te 3.12-3.16
Sc1 0.0000 0.0399 0.7500  4 Te 2.78-2.83
Te1 0.0000 0.1288 0.5503  1 Sc 2.78
Te2 0.0000 0.4372 0.7500  2 Sc 2.83, 2 Tb 3.12

---

Q: The lowest calculated total energy belongs to which entry?
A: number 2

---

Q: Among the records above, which one has the highest calculated total energy?
A: RbTbSc